Version P
Rb2Cu2Bi: relaxed, PBE.

```
data_Rb2Cu2Bi
_chemical_formula_sum 'Rb4 Cu4 Bi2'
_space_group_name_H-M_alt 'P 4/m b m'
_space_group_IT_number 127
_space_group_name_Hall '-P 4 2ab'
_cell_length_a 7.284
_cell_length_b 7.284
_cell_length_c 5.680
_cell_angle_alpha 90.00
_cell_angle_beta 90.00
_cell_angle_gamma 90.00
loop_
_atom_site_label
_atom_site_fract_x
_atom_site_fract_y
_atom_site_fract_z
Rb1 0.184 0.316 0.000
Cu1 0.121 0.621 0.500
Bi1 0.000 0.000 0.500
```

Crystal system = tetragonal
DOS at the Fermi energy = 0.220 states/eV per atom

Version Q
Rb2Cu2Bi: relaxed, PBE.

```
data_Rb2Cu2Bi
_chemical_formula_sum 'Rb4 Cu4 Bi2'
_space_group_name_H-M_alt 'I 4/m m m'
_space_group_IT_number 139
_space_group_name_Hall '-I 4 2'
_cell_length_a 4.770
_cell_length_b 4.770
_cell_length_c 13.791
_cell_angle_alpha 90.00
_cell_angle_beta 90.00
_cell_angle_gamma 90.00
loop_
_atom_site_label
_atom_site_fract_x
_atom_site_fract_y
_atom_site_fract_z
Rb1 0.000 0.500 0.250
Cu1 0.000 0.000 0.083
Bi1 0.000 0.000 0.500
```

Crystal system = tetragonal
DOS at the Fermi energy = 1.004 states/eV per atom

Verdict on stability: version P comes out on top.

Version P
RbCuBi: relaxed, PBE.

```
data_RbCuBi
_chemical_formula_sum 'Rb2 Cu2 Bi2'
_space_group_name_H-M_alt 'P 4/n m m'
_space_group_IT_number 129
_cell_length_a 4.804
_cell_length_b 4.804
_cell_length_c 8.539
_cell_angle_alpha 90.00
_cell_angle_beta 90.00
_cell_angle_gamma 90.00
loop_
_space_group_symop_operation_xyz
'x,y,z'
'-x,-y,-z'
'-y+1/2,x,z'
'y+1/2,-x,-z'
'-x+1/2,-y+1/2,z'
'x+1/2,y+1/2,-z'
'y,-x+1/2,z'
'-y,x+1/2,-z'
'x+1/2,-y,-z'
'-x+1/2,y,z'
'-y,-x,-z'
'y,x,z'
'-x,y+1/2,-z'
'x,-y+1/2,z'
'y+1/2,x+1/2,-z'
'-y+1/2,-x+1/2,z'
loop_
_atom_site_label
_atom_site_fract_x
_atom_site_fract_y
_atom_site_fract_z
Rb1 0.250 0.250 0.169
Cu1 0.250 0.750 0.500
Bi1 0.250 0.250 0.660
```

Crystal system = tetragonal
DOS at the Fermi energy = 0.585 states/eV per atom

Version Q
RbCuBi: relaxed, PBE.

```
data_RbCuBi
_chemical_formula_sum 'Rb1 Cu1 Bi1'
_space_group_name_H-M_alt 'P -6 m 2'
_space_group_IT_number 187
_space_group_name_Hall 'P -6 2'
_cell_length_a 4.5722
_cell_length_b 4.5722
_cell_length_c 5.8083
_cell_angle_alpha 90.00
_cell_angle_beta 90.00
_cell_angle_gamma 120.00
loop_
_atom_site_label
_atom_site_fract_x
_atom_site_fract_y
_atom_site_fract_z
Rb1 0.0000 0.0000 0.0000
Cu1 0.6667 0.3333 0.5000
Bi1 0.3333 0.6667 0.5000
```

Crystal system = hexagonal
DOS at the Fermi energy = 1.165 states/eV per atom

Verdict on stability: version P comes out on top.

Version P
CuRe2Bi2: relaxed, PBE.

```
data_CuRe2Bi2
_chemical_formula_sum 'Cu2 Re4 Bi4'
_space_group_name_H-M_alt 'I 4/m m m'
_space_group_IT_number 139
_space_group_name_Hall '-I 4 2'
_cell_length_a 5.474
_cell_length_b 5.474
_cell_length_c 7.620
_cell_angle_alpha 90.00
_cell_angle_beta 90.00
_cell_angle_gamma 90.00
loop_
_atom_site_label
_atom_site_fract_x
_atom_site_fract_y
_atom_site_fract_z
Cu1 0.000 0.000 0.000
Re1 0.000 0.000 0.352
Bi1 0.000 0.500 0.250
```

Crystal system = tetragonal
DOS at the Fermi energy = 1.112 states/eV per atom

Version Q
CuRe2Bi2: relaxed, PBE.

```
data_CuRe2Bi2
_chemical_formula_sum 'Cu2 Re4 Bi4'
_space_group_name_H-M_alt 'P 4/m b m'
_space_group_IT_number 127
_space_group_name_Hall '-P 4 2ab'
_cell_length_a 6.749
_cell_length_b 6.749
_cell_length_c 4.419
_cell_angle_alpha 90.00
_cell_angle_beta 90.00
_cell_angle_gamma 90.00
loop_
_atom_site_label
_atom_site_fract_x
_atom_site_fract_y
_atom_site_fract_z
Cu1 0.000 0.000 0.000
Re1 0.127 0.373 0.000
Bi1 0.179 0.679 0.500
```

Crystal system = tetragonal
DOS at the Fermi energy = 0.635 states/eV per atom

Verdict on stability: version Q comes out on top.

Version P
CuReBi3: relaxed, PBE.

```
data_CuReBi3
_chemical_formula_sum 'Cu1 Re1 Bi3'
_space_group_name_H-M_alt 'P m -3 m'
_space_group_IT_number 221
_space_group_name_Hall '-P 4 2 3'
_cell_length_a 5.331
_cell_length_b 5.331
_cell_length_c 5.331
_cell_angle_alpha 90.00
_cell_angle_beta 90.00
_cell_angle_gamma 90.00
loop_
_atom_site_label
_atom_site_fract_x
_atom_site_fract_y
_atom_site_fract_z
Cu1 0.000 0.000 0.000
Re1 0.500 0.500 0.500
Bi1 0.000 0.500 0.500
```

Crystal system = cubic
DOS at the Fermi energy = 1.561 states/eV per atom

Version Q
CuReBi3: relaxed, PBE.

```
data_CuReBi3
_chemical_formula_sum 'Cu1 Re1 Bi3'
_space_group_name_H-M_alt 'P m -3 m'
_space_group_IT_number 221
_space_group_name_Hall '-P 4 2 3'
_cell_length_a 5.160
_cell_length_b 5.160
_cell_length_c 5.160
_cell_angle_alpha 90.00
_cell_angle_beta 90.00
_cell_angle_gamma 90.00
loop_
_atom_site_label
_atom_site_fract_x
_atom_site_fract_y
_atom_site_fract_z
Cu1 0.000 0.000 0.000
Re1 0.500 0.500 0.500
Bi1 0.000 0.000 0.500
```

Crystal system = cubic
DOS at the Fermi energy = 0.760 states/eV per atom

Verdict on stability: version P comes out on top.

Version P
Cu2Bi2Rh: relaxed, PBE.

```
data_Cu2Bi2Rh
_chemical_formula_sum 'Cu4 Bi4 Rh2'
_space_group_name_H-M_alt 'I 4/m m m'
_space_group_IT_number 139
_space_group_name_Hall '-I 4 2'
_cell_length_a 3.431
_cell_length_b 3.431
_cell_length_c 16.718
_cell_angle_alpha 90.00
_cell_angle_beta 90.00
_cell_angle_gamma 90.00
loop_
_atom_site_label
_atom_site_fract_x
_atom_site_fract_y
_atom_site_fract_z
Cu1 0.000 0.500 0.250
Bi1 0.000 0.000 0.102
Rh1 0.000 0.000 0.500
```

Crystal system = tetragonal
DOS at the Fermi energy = 0.455 states/eV per atom

Version Q
Cu2Bi2Rh: relaxed, PBE.

```
data_Cu2Bi2Rh
_chemical_formula_sum 'Cu4 Bi4 Rh2'
_space_group_name_H-M_alt 'P 4/m b m'
_space_group_IT_number 127
_space_group_name_Hall '-P 4 2ab'
_cell_length_a 7.497
_cell_length_b 7.497
_cell_length_c 3.628
_cell_angle_alpha 90.00
_cell_angle_beta 90.00
_cell_angle_gamma 90.00
loop_
_atom_site_label
_atom_site_fract_x
_atom_site_fract_y
_atom_site_fract_z
Cu1 0.119 0.381 0.000
Bi1 0.178 0.678 0.500
Rh1 0.000 0.000 0.500
```

Crystal system = tetragonal
DOS at the Fermi energy = 0.716 states/eV per atom

Version R
Cu2Bi2Rh: relaxed, PBE.

```
data_Cu2Bi2Rh
_chemical_formula_sum 'Cu4 Bi4 Rh2'
_space_group_name_H-M_alt 'P 4/m b m'
_space_group_IT_number 127
_space_group_name_Hall '-P 4 2ab'
_cell_length_a 7.009
_cell_length_b 7.009
_cell_length_c 3.882
_cell_angle_alpha 90.00
_cell_angle_beta 90.00
_cell_angle_gamma 90.00
loop_
_atom_site_label
_atom_site_fract_x
_atom_site_fract_y
_atom_site_fract_z
Cu1 0.125 0.375 0.000
Bi1 0.181 0.681 0.500
Rh1 0.000 0.000 0.000
```

Crystal system = tetragonal
DOS at the Fermi energy = 0.453 states/eV per atom

Verdict on stability: version P comes out on top.

Version P
Cu2BiRh2: relaxed, PBE.

```
data_Cu2BiRh2
_chemical_formula_sum 'Cu4 Bi2 Rh4'
_space_group_name_H-M_alt 'I 4/m m m'
_space_group_IT_number 139
_space_group_name_Hall '-I 4 2'
_cell_length_a 3.822
_cell_length_b 3.822
_cell_length_c 11.570
_cell_angle_alpha 90.00
_cell_angle_beta 90.00
_cell_angle_gamma 90.00
loop_
_atom_site_label
_atom_site_fract_x
_atom_site_fract_y
_atom_site_fract_z
Cu1 0.000 0.000 0.104
Bi1 0.000 0.000 0.500
Rh1 0.000 0.500 0.250
```

Crystal system = tetragonal
DOS at the Fermi energy = 1.034 states/eV per atom

Version Q
Cu2BiRh2: relaxed, PBE.

```
data_Cu2BiRh2
_chemical_formula_sum 'Cu4 Bi2 Rh4'
_space_group_name_H-M_alt 'P 4/m b m'
_space_group_IT_number 127
_space_group_name_Hall '-P 4 2ab'
_cell_length_a 7.121
_cell_length_b 7.121
_cell_length_c 3.197
_cell_angle_alpha 90.00
_cell_angle_beta 90.00
_cell_angle_gamma 90.00
loop_
_atom_site_label
_atom_site_fract_x
_atom_site_fract_y
_atom_site_fract_z
Cu1 0.154 0.346 0.000
Bi1 0.000 0.000 0.500
Rh1 0.138 0.638 0.500
```

Crystal system = tetragonal
DOS at the Fermi energy = 1.829 states/eV per atom

Version R
Cu2BiRh2: relaxed, PBE.

```
data_Cu2BiRh2
_chemical_formula_sum 'Cu4 Bi2 Rh4'
_space_group_name_H-M_alt 'P 4/m b m'
_space_group_IT_number 127
_space_group_name_Hall '-P 4 2ab'
_cell_length_a 7.016
_cell_length_b 7.016
_cell_length_c 3.237
_cell_angle_alpha 90.00
_cell_angle_beta 90.00
_cell_angle_gamma 90.00
loop_
_atom_site_label
_atom_site_fract_x
_atom_site_fract_y
_atom_site_fract_z
Cu1 0.126 0.374 0.000
Bi1 0.000 0.000 0.000
Rh1 0.165 0.665 0.500
```

Crystal system = tetragonal
DOS at the Fermi energy = 1.673 states/eV per atom

Verdict on stability: version Q comes out on top.

Version P
CuBiRh: relaxed, PBE.

```
data_CuBiRh
_chemical_formula_sum 'Cu2 Bi2 Rh2'
_space_group_name_H-M_alt 'P 4/m m m'
_space_group_IT_number 123
_space_group_name_Hall '-P 4 2'
_cell_length_a 3.417
_cell_length_b 3.417
_cell_length_c 9.134
_cell_angle_alpha 90.00
_cell_angle_beta 90.00
_cell_angle_gamma 90.00
loop_
_atom_site_label
_atom_site_fract_x
_atom_site_fract_y
_atom_site_fract_z
Cu1 0.000 0.000 0.133
Bi1 0.500 0.500 0.313
Rh1 0.000 0.000 0.500
Rh2 0.500 0.500 0.000
```

Crystal system = tetragonal
DOS at the Fermi energy = 0.851 states/eV per atom

Version Q
CuBiRh: relaxed, PBE.

```
data_CuBiRh
_chemical_formula_sum 'Cu4 Bi4 Rh4'
_space_group_name_H-M_alt 'F -4 3 m'
_space_group_IT_number 216
_space_group_name_Hall 'F -4 2 3'
_cell_length_a 6.211
_cell_length_b 6.211
_cell_length_c 6.211
_cell_angle_alpha 90.00
_cell_angle_beta 90.00
_cell_angle_gamma 90.00
loop_
_atom_site_label
_atom_site_fract_x
_atom_site_fract_y
_atom_site_fract_z
Cu1 0.000 0.000 0.000
Bi1 0.000 0.000 0.500
Rh1 0.250 0.250 0.750
```

Crystal system = cubic
DOS at the Fermi energy = 0.638 states/eV per atom

Verdict on stability: version Q comes out on top.

Version P
CuBiS3: relaxed, PBE.

```
data_CuBiS3
_chemical_formula_sum 'Cu1 Bi1 S3'
_space_group_name_H-M_alt 'P m -3 m'
_space_group_IT_number 221
_space_group_name_Hall '-P 4 2 3'
_cell_length_a 5.170
_cell_length_b 5.170
_cell_length_c 5.170
_cell_angle_alpha 90.00
_cell_angle_beta 90.00
_cell_angle_gamma 90.00
loop_
_atom_site_label
_atom_site_fract_x
_atom_site_fract_y
_atom_site_fract_z
Cu1 0.000 0.000 0.000
Bi1 0.500 0.500 0.500
S1 0.000 0.500 0.500
```

Crystal system = cubic
DOS at the Fermi energy = 1.021 states/eV per atom

Version Q
CuBiS3: relaxed, PBE.

```
data_CuBiS3
_chemical_formula_sum 'Cu4 Bi4 S12'
_space_group_name_H-M_alt 'P n m a'
_space_group_IT_number 62
_cell_length_a 6.586
_cell_length_b 10.674
_cell_length_c 6.652
_cell_angle_alpha 90.00
_cell_angle_beta 90.00
_cell_angle_gamma 90.00
loop_
_space_group_symop_operation_xyz
'x,y,z'
'-x,-y,-z'
'-x+1/2,-y,z+1/2'
'x+1/2,y,-z+1/2'
'x+1/2,-y+1/2,-z+1/2'
'-x+1/2,y+1/2,z+1/2'
'-x,y+1/2,-z'
'x,-y+1/2,z'
loop_
_atom_site_label
_atom_site_fract_x
_atom_site_fract_y
_atom_site_fract_z
Cu1 0.189 0.250 0.106
Bi1 0.000 0.000 0.500
S1 0.041 0.250 0.412
S2 0.082 0.068 0.919
```

Crystal system = orthorhombic

Version R
CuBiS3: relaxed, PBE.

```
data_CuBiS3
_chemical_formula_sum 'Cu1 Bi1 S3'
_space_group_name_H-M_alt 'P m -3 m'
_space_group_IT_number 221
_space_group_name_Hall '-P 4 2 3'
_cell_length_a 4.564
_cell_length_b 4.564
_cell_length_c 4.564
_cell_angle_alpha 90.00
_cell_angle_beta 90.00
_cell_angle_gamma 90.00
loop_
_atom_site_label
_atom_site_fract_x
_atom_site_fract_y
_atom_site_fract_z
Cu1 0.000 0.000 0.000
Bi1 0.500 0.500 0.500
S1 0.000 0.000 0.500
```

Crystal system = cubic
DOS at the Fermi energy = 0.542 states/eV per atom

Verdict on stability: version Q comes out on top.

Version P
CuBi5S8: relaxed, PBE.

```
data_CuBi5S8
_chemical_formula_sum 'Cu4 Bi20 S32'
_space_group_name_H-M_alt 'F -4 3 m'
_space_group_IT_number 216
_space_group_name_Hall 'F -4 2 3'
_cell_length_a 11.509
_cell_length_b 11.509
_cell_length_c 11.509
_cell_angle_alpha 90.00
_cell_angle_beta 90.00
_cell_angle_gamma 90.00
loop_
_atom_site_label
_atom_site_fract_x
_atom_site_fract_y
_atom_site_fract_z
Cu1 0.000 0.000 0.000
Bi1 0.131 0.131 0.631
Bi2 0.250 0.250 0.250
S1 0.116 0.116 0.384
S2 0.122 0.122 0.878
```

Crystal system = cubic

Version Q
CuBi5S8: relaxed, PBE.

```
data_CuBi5S8
_chemical_formula_sum 'Cu2 Bi10 S16'
_space_group_name_H-M_alt 'C 1 2 1'
_space_group_IT_number 5
_cell_length_a 13.249
_cell_length_b 4.070
_cell_length_c 14.387
_cell_angle_alpha 90.00
_cell_angle_beta 114.64
_cell_angle_gamma 90.00
loop_
_space_group_symop_operation_xyz
'x,y,z'
'-x,y,-z'
'x+1/2,y+1/2,z'
'-x+1/2,y+1/2,-z'
loop_
_atom_site_label
_atom_site_fract_x
_atom_site_fract_y
_atom_site_fract_z
Cu1 0.000 0.000 0.000
Bi1 0.000 0.290 0.500
Bi2 0.156 0.792 0.346
Bi3 0.215 0.826 0.866
S1 0.005 0.288 0.305
S2 0.125 0.286 0.952
S3 0.144 0.806 0.153
S4 0.164 0.787 0.566
```

Crystal system = monoclinic
DOS at the Fermi energy = 0.094 states/eV per atom

Verdict on stability: version Q comes out on top.

Version P
Cu2Bi2S: relaxed, PBE.

```
data_Cu2Bi2S
_chemical_formula_sum 'Cu4 Bi4 S2'
_space_group_name_H-M_alt 'I 4/m m m'
_space_group_IT_number 139
_space_group_name_Hall '-I 4 2'
_cell_length_a 3.581
_cell_length_b 3.581
_cell_length_c 16.296
_cell_angle_alpha 90.00
_cell_angle_beta 90.00
_cell_angle_gamma 90.00
loop_
_atom_site_label
_atom_site_fract_x
_atom_site_fract_y
_atom_site_fract_z
Cu1 0.000 0.500 0.250
Bi1 0.000 0.000 0.111
S1 0.000 0.000 0.500
```

Crystal system = tetragonal
DOS at the Fermi energy = 0.521 states/eV per atom

Version Q
Cu2Bi2S: relaxed, PBE.

```
data_Cu2Bi2S
_chemical_formula_sum 'Cu4 Bi4 S2'
_space_group_name_H-M_alt 'P 4/m b m'
_space_group_IT_number 127
_space_group_name_Hall '-P 4 2ab'
_cell_length_a 7.824
_cell_length_b 7.824
_cell_length_c 3.591
_cell_angle_alpha 90.00
_cell_angle_beta 90.00
_cell_angle_gamma 90.00
loop_
_atom_site_label
_atom_site_fract_x
_atom_site_fract_y
_atom_site_fract_z
Cu1 0.108 0.392 0.000
Bi1 0.195 0.695 0.500
S1 0.000 0.000 0.500
```

Crystal system = tetragonal
DOS at the Fermi energy = 0.397 states/eV per atom

Verdict on stability: version P comes out on top.